Here is an optimized crystal structure of NpCoRhO6 from the Alexandria database. Energies are from GGA+U.

symmetry	P-31c
final energy	-139.2	eV per cell
crystal system	trigonal
magnetization	1.02	μB per formula unit

Lattice parameters (Å, degrees): 5.0855 5.0855 8.9188 90.00 90.00 120.00
Last column: nearest neighbours and their distance in Å.
Sites, in units of the cell vectors:
Np 0.3333 0.6667 0.2500  6 O 2.07
Np 0.6667 0.3333 0.7500  6 O 2.07
Co 0.3333 0.6667 0.7500  6 O 1.95
Co 0.6667 0.3333 0.2500  6 O 1.95
Rh 0.0000 0.0000 0.0000  6 O 2.06
Rh 0.0000 0.0000 0.5000  6 O 2.06
O 0.0194 0.3466 0.6276  1 Co 1.95, 1 Rh 2.06, 1 Np 2.07
O 0.0194 0.6728 0.8724  1 Co 1.95, 1 Rh 2.06, 1 Np 2.07
O 0.3272 0.3466 0.8724  1 Co 1.95, 1 Rh 2.06, 1 Np 2.07
O 0.3272 0.9806 0.6276  1 Co 1.95, 1 Rh 2.06, 1 Np 2.07
O 0.3466 0.0194 0.1276  1 Co 1.95, 1 Rh 2.06, 1 Np 2.07
O 0.3466 0.3272 0.3724  1 Co 1.95, 1 Rh 2.06, 1 Np 2.07
O 0.6534 0.6728 0.6276  1 Co 1.95, 1 Rh 2.06, 1 Np 2.07
O 0.6534 0.9806 0.8724  1 Co 1.95, 1 Rh 2.06, 1 Np 2.07
O 0.6728 0.0194 0.3724  1 Co 1.95, 1 Rh 2.06, 1 Np 2.07
O 0.6728 0.6534 0.1276  1 Co 1.95, 1 Rh 2.06, 1 Np 2.07
O 0.9806 0.3272 0.1276  1 Co 1.95, 1 Rh 2.06, 1 Np 2.07
O 0.9806 0.6534 0.3724  1 Co 1.95, 1 Rh 2.06, 1 Np 2.07